Record 1
IrRu2Pb: optimized geometry, GGA-PBEsol.

a = 4.7399 Å, b = 4.7399 Å, c = 2.8675 Å
α = 90.00°, β = 90.00°, γ = 104.58°
Fractional positions:
1 Ir 0.0000 0.0000 0.0000
2 Ru 0.0000 0.5000 0.5000
3 Ru 0.5000 0.0000 0.5000
4 Pb 0.5000 0.5000 0.0000

Uncorrected energy, hartree per atom: -0.293
Symmetry: No. 65
Energy relative to the elements, kJ/mol of atoms: 54
Total magnetization, μB per formula unit: 0.00

=====

Record 2
TaBeIn2: optimized geometry, GGA-PBEsol.

a = 5.3015 Å, b = 5.3015 Å, c = 5.3015 Å
α = 136.67°, β = 136.67°, γ = 62.94°
Fractional positions:
1 Ta 0.0000 0.0000 0.0000
2 Be 0.5000 0.5000 0.0000
3 In 0.2500 0.7500 0.5000
4 In 0.7500 0.2500 0.5000

Uncorrected energy, hartree per atom: -0.196
Symmetry: No. 139
Energy relative to the elements, kJ/mol of atoms: 28
Total magnetization, μB per formula unit: 0.00

=====

Record 3
In2Au3: optimized geometry, GGA-PBEsol.

a = 4.5675 Å, b = 4.5675 Å, c = 5.6880 Å
α = 90.00°, β = 90.00°, γ = 120.00°
Fractional positions:
1 In 0.3333 0.6667 0.1742
2 In 0.6667 0.3333 0.8258
3 Au 0.0000 0.0000 0.5000
4 Au 0.3333 0.6667 0.6871
5 Au 0.6667 0.3333 0.3129

Uncorrected energy, hartree per atom: -0.137
Symmetry: No. 164
Energy relative to the elements, kJ/mol of atoms: -17
Relative energy among the computed polymorphs, kJ per mole of atoms: 0.0
Total magnetization, μB per formula unit: 0.00